Entry 1:
Crystalline NdHfIrO6 at its relaxed geometry, computed with PBE.

## Properties
As for the formation energy from raw total energies: -2.3477 eV/atom. The crystal system is trigonal.

a b c (Å): 5.3329 5.3329 10.2719
angles (deg): 90.00 90.00 120.00
Closest atoms and distances in Å follow each position.
Fractional positions:
Nd: 0.0000 0.0000 0.0000  6 O 2.40
Nd: 0.0000 0.0000 0.5000  6 O 2.40
Hf: 0.3333 0.6667 0.2500  6 O 2.09
Hf: 0.6667 0.3333 0.7500  6 O 2.09
Ir: 0.3333 0.6667 0.7500  6 O 2.00
Ir: 0.6667 0.3333 0.2500  6 O 2.00
O: 0.0136 0.3653 0.6418  1 Ir 2.00, 1 Hf 2.09
O: 0.0136 0.6482 0.8582  1 Ir 2.00, 1 Hf 2.09
O: 0.3518 0.3653 0.8582  1 Ir 2.00, 1 Hf 2.09
O: 0.3518 0.9864 0.6418  1 Ir 2.00, 1 Hf 2.09
O: 0.3653 0.0136 0.1418  1 Ir 2.00, 1 Hf 2.09
O: 0.3653 0.3518 0.3582  1 Ir 2.00, 1 Hf 2.09
O: 0.6347 0.6482 0.6418  1 Ir 2.00, 1 Hf 2.09
O: 0.6347 0.9864 0.8582  1 Ir 2.00, 1 Hf 2.09
O: 0.6482 0.0136 0.3582  1 Ir 2.00, 1 Hf 2.09
O: 0.6482 0.6347 0.1418  1 Ir 2.00, 1 Hf 2.09
O: 0.9864 0.3518 0.1418  1 Ir 2.00, 1 Hf 2.09
O: 0.9864 0.6347 0.3582  1 Ir 2.00, 1 Hf 2.09


Entry 2:
Crystalline NdHfIrPd at its relaxed geometry, computed with PBE.

## Properties
The formation energy from the elements is -13.9 kcal/mol of atoms. The crystal system is cubic.

a b c (Å): 4.8596 4.8596 4.8596
angles (deg): 60.00 60.00 60.00
Closest atoms and distances in Å follow each position.
Fractional positions:
Nd: 0.0000 0.0000 0.0000  4 Ir 2.98, 4 Pd 2.98
Hf: 0.5000 0.5000 0.5000  4 Ir 2.98, 4 Pd 2.98
Ir: 0.7500 0.7500 0.7500  4 Hf 2.98, 4 Nd 2.98
Pd: 0.2500 0.2500 0.2500  4 Hf 2.98, 4 Nd 2.98